## IrPd2Cl (SCAN)

Data for a crystal of IrPd2Cl relaxed with PBEsol.

Geometry as extended XYZ:
```
4
Lattice="-0.972 2.106 3.745 -2.764 -1.829 2.902 1.529 -1.518 3.842" Properties=species:S:1:pos:R:3 pbc="T T T"
Ir -1.103 -0.621 5.244
Pd -0.552 -0.310 2.622
Pd -1.655 -0.931 7.867
Cl 0.000 0.000 0.000
```

- SG = Fm-3m (225)
- electronic total energy (eV per atom) = -35.4149

***

## Fe2NiAg (SCAN)

Data for a crystal of Fe2NiAg relaxed with PBEsol.

Geometry as extended XYZ:
```
4
Lattice="2.627 0.000 0.000 0.000 4.406 0.024 0.000 -1.427 4.284" Properties=species:S:1:pos:R:3 pbc="T T T"
Ag 0.000 1.490 2.154
Fe 0.000 0.000 0.000
Fe 1.314 2.203 0.012
Ni 1.314 -0.714 2.142
```

- ΔH_f (0 K) (eV per atom) = 0.249
- SG = P2/m (10)

***

## TaOsAu2 (SCAN)

Data for a crystal of TaOsAu2 relaxed with PBEsol.

Geometry as extended XYZ:
```
4
Lattice="-0.758 0.012 2.984 -3.259 -1.478 -0.822 2.244 -5.276 0.591" Properties=species:S:1:pos:R:3 pbc="T T T"
Au 0.012 -0.029 0.003
Au -1.452 -2.040 1.228
Os 1.163 -2.734 0.306
Ta -0.373 -4.578 1.512
```

- ΔH_f (0 K) (eV per atom) = -0.054
- SG = Pmm2 (25)

***

## Ho5SbPt2 (SCAN)

Data for a crystal of Ho5SbPt2 relaxed with PBEsol.

Geometry as extended XYZ:
```
16
Lattice="-1.174 -6.478 3.849 0.575 -0.675 -8.516 6.531 -2.818 -2.750" Properties=species:S:1:pos:R:3 pbc="T T T"
Ho 0.000 0.000 0.000
Ho 2.678 -4.648 0.549
Ho -0.654 -5.403 0.646
Ho 6.586 -4.568 -8.063
Ho 4.187 -5.287 -2.451
Ho 1.138 -2.684 -1.786
Ho 3.537 -1.965 -7.398
Ho 1.745 -4.684 -4.967
Ho 4.794 -7.288 -5.632
Ho 2.395 -8.007 -0.019
Sb 4.892 -4.071 -5.358
Sb 1.039 -5.901 -2.059
Pt 3.999 -2.683 -1.224
Pt 1.357 -6.613 2.323
Pt 4.888 -6.558 0.079
Pt 0.469 -2.737 1.020
```

- SG = I4/mcm (140)
- electronic total energy (eV per atom) = -54.0106

***

## Mg2SbTe (SCAN)

Data for a crystal of Mg2SbTe relaxed with PBEsol.

Geometry as extended XYZ:
```
4
Lattice="-3.887 -0.373 -0.392 -0.420 -0.202 4.348 -0.589 5.917 0.218" Properties=species:S:1:pos:R:3 pbc="T T T"
Mg -0.849 -0.222 3.742
Mg -2.886 2.649 1.508
Sb -2.583 -0.308 1.374
Te -1.151 2.735 3.876
```

- SG = Pm (6)
- electronic total energy (eV per atom) = -21.5923

***

## AlTl2Au (SCAN)

Data for a crystal of AlTl2Au relaxed with PBEsol.

Geometry as extended XYZ:
```
4
Lattice="-0.085 -4.475 -0.971 0.908 -0.968 4.383 -4.539 2.619 -0.874" Properties=species:S:1:pos:R:3 pbc="T T T"
Tl 0.000 0.000 0.000
Tl -1.610 -0.535 2.608
Au -2.106 -2.289 -0.069
Al 0.412 -2.721 1.706
```

- ΔH_f (0 K) (eV per atom) = 0.203
- SG = I-4m2 (119)

***

## BaIn (SCAN)

Data for a crystal of BaIn relaxed with PBEsol.

Geometry as extended XYZ:
```
4
Lattice="5.809 0.000 0.000 2.905 5.031 0.000 2.905 1.677 4.743" Properties=species:S:1:pos:R:3 pbc="T T T"
Ba 5.809 3.354 2.372
Ba 8.714 5.031 3.558
In 0.000 0.000 0.000
In 2.905 1.677 1.186
```

- ΔH_f (0 K) (eV per atom) = -0.265
- SG = Fd-3m (227)

***

## Tl12Hg17 (SCAN)

Data for a crystal of Tl12Hg17 relaxed with PBEsol.

Geometry as extended XYZ:
```
29
Lattice="-3.939 4.510 7.958 -6.439 0.430 -7.586 1.917 -9.525 2.192" Properties=species:S:1:pos:R:3 pbc="T T T"
Hg -4.799 -0.584 3.507
Hg -4.217 -5.114 -1.603
Hg -0.853 -5.338 -1.043
Hg -3.115 -2.643 -3.690
Hg -5.558 -1.822 -1.210
Hg -3.152 -3.377 5.017
Hg -1.680 -0.301 5.234
Hg -0.095 -4.100 3.673
Hg -3.022 -4.842 1.757
Hg -6.711 0.863 0.853
Hg -4.892 1.615 -1.941
Hg -4.216 2.720 2.267
Hg -5.673 -3.073 1.719
Hg -1.298 1.487 2.623
Hg 0.632 -3.139 0.722
Hg -2.122 0.142 -2.500
Hg 0.000 0.000 0.000
Tl -2.572 -2.701 -0.552
Tl -4.047 1.824 5.315
Tl -4.013 -5.412 -4.768
Tl -2.353 -7.390 -2.825
Tl -2.080 -1.898 2.507
Tl -5.558 -0.642 -4.081
Tl -0.842 -4.924 6.571
Tl -2.005 -2.135 7.717
Tl -3.724 0.061 0.583
Tl -0.507 -6.659 1.830
Tl -7.056 3.882 1.807
Tl -7.553 3.071 -1.282
```

- ΔH_f (0 K) (eV per atom) = 0.021
- SG = I-43m (217)

***

## As2PtPb2 (SCAN)

Data for a crystal of As2PtPb2 relaxed with PBEsol.

Geometry as extended XYZ:
```
5
Lattice="5.490 -0.009 -0.013 -2.519 4.879 0.013 -2.519 -1.804 4.533" Properties=species:S:1:pos:R:3 pbc="T T T"
Pb 0.227 3.203 1.136
Pb 0.227 -0.138 3.396
As -3.382 2.064 3.052
As -1.656 1.010 1.494
Pt 0.000 0.000 0.000
```

- ΔH_f (0 K) (eV per atom) = 0.217
- SG = I4/mmm (139)

***

## Li2CoNi (SCAN)

Data for a crystal of Li2CoNi relaxed with PBEsol.

Geometry as extended XYZ:
```
4
Lattice="-1.363 1.746 -0.949 0.765 -1.731 -1.491 -6.970 -4.527 1.682" Properties=species:S:1:pos:R:3 pbc="T T T"
Ni -3.784 -2.256 -0.379
Co -0.299 0.007 -1.220
Li -1.767 -1.148 0.426
Li -5.203 -3.379 1.255
```

- ΔH_f (0 K) (eV per atom) = 0.083
- SG = Cmmm (65)

***

## Ca2CuBPb (SCAN)

Data for a crystal of Ca2CuBPb relaxed with PBEsol.

Geometry as extended XYZ:
```
5
Lattice="-2.999 2.763 1.618 1.657 -1.401 5.464 3.958 4.346 -0.086" Properties=species:S:1:pos:R:3 pbc="T T T"
Pb 0.000 0.000 0.000
Ca 1.979 2.173 -0.043
Ca 0.829 -0.701 2.732
B -1.499 1.382 0.809
Cu 1.308 2.854 3.498
```

- ΔH_f (0 K) (eV per atom) = 0.858
- SG = P4/mmm (123)

***

## Gd3MgAlS7 (SCAN)

Data for a crystal of Gd3MgAlS7 relaxed with PBEsol.

Geometry as extended XYZ:
```
24
Lattice="6.084 0.000 0.000 0.000 9.641 0.000 0.000 -4.820 8.349" Properties=species:S:1:pos:R:3 pbc="T T T"
Gd 1.426 -0.354 3.165
Gd 1.426 -1.903 7.073
Gd 1.426 2.256 6.461
Gd 4.467 5.174 5.184
Gd 4.467 6.723 1.276
Gd 4.467 2.564 1.889
Mg 0.305 0.000 0.000
Mg 3.346 0.000 0.000
Al 3.991 0.000 5.566
Al 0.949 4.820 2.783
S 4.919 -0.186 2.050
S 4.919 -2.952 7.485
S 4.919 3.137 7.163
S 1.877 5.006 6.299
S 1.877 7.772 0.865
S 1.877 1.683 1.186
S 3.055 1.640 4.343
S 3.055 -1.880 4.757
S 3.055 0.239 7.598
S 0.013 3.180 4.006
S 0.013 6.700 3.592
S 0.013 4.581 0.751
S 0.137 0.000 5.566
S 3.179 4.820 2.783
```

- SG = P6_3 (173)
- electronic total energy (eV per atom) = -23.3699